[1]
Ac3Sb2PdAu6 after structural relaxation, computed with PBE-GGA.

The structure in POSCAR format:
```
Ac3Sb2PdAu6
1.0
6.399 0.000 0.000
-3.199 5.542 0.000
0.000 0.000 8.943
Ac Sb Pd Au
3 2 1 6
Direct
0.000 0.000 0.000
0.333 0.667 0.629
0.667 0.333 0.371
0.333 0.667 0.050
0.667 0.333 0.950
0.000 0.000 0.500
0.174 0.349 0.292
0.174 0.826 0.292
0.349 0.174 0.708
0.651 0.826 0.292
0.826 0.174 0.708
0.826 0.651 0.708
```

Properties
size of the total moment = 0.0 μB/f.u.
E_form (uncorrected) = -618 meV per atom
DOS at the Fermi energy = 0.212 states/eV per atom

=====

[2]
Li2WCl6 after structural relaxation, computed with PBE-GGA.

The structure in POSCAR format:
```
Li2WCl6
1.0
6.001 0.000 0.000
0.000 6.001 0.000
0.000 0.000 11.172
Li W Cl
4 2 12
Direct
0.000 0.000 0.171
0.000 0.000 0.829
0.500 0.500 0.329
0.500 0.500 0.671
0.000 0.000 0.500
0.500 0.500 0.000
0.194 0.194 0.343
0.194 0.194 0.657
0.219 0.219 0.000
0.281 0.719 0.500
0.306 0.694 0.157
0.306 0.694 0.843
0.694 0.306 0.157
0.694 0.306 0.843
0.719 0.281 0.500
0.781 0.781 0.000
0.806 0.806 0.343
0.806 0.806 0.657
```

Properties
size of the total moment = 2.0 μB/f.u.
E_form (uncorrected) = -1199 meV per atom
DOS at the Fermi energy = 0.585 states/eV per atom

=====

[3]
MgGa3Ni after structural relaxation, computed with PBE-GGA.

The structure in POSCAR format:
```
MgGa3Ni
1.0
4.615 0.000 0.000
0.000 4.615 0.000
0.000 0.000 4.615
Mg Ga Ni
1 3 1
Direct
0.000 0.000 0.000
0.000 0.500 0.500
0.500 0.000 0.500
0.500 0.500 0.000
0.500 0.500 0.500
```

Properties
size of the total moment = 0.0 μB/f.u.
calculated formation energy = -61 meV per atom
distance to the lowest polymorph of the same formula = 127 meV/atom
DOS at the Fermi energy = 0.463 states/eV per atom

=====

[4]
CoCN after structural relaxation, computed with PBE-GGA.

The structure in POSCAR format:
```
CoCN
1.0
6.457 0.000 0.000
0.000 3.048 0.000
-3.015 0.000 3.312
Co C N
2 2 2
Direct
0.000 0.000 0.000
0.500 0.500 0.000
0.288 0.500 0.156
0.788 0.000 0.156
0.281 0.500 0.427
0.781 0.000 0.427
```

Properties
size of the total moment = 2.0 μB/f.u.
distance to the lowest polymorph of the same formula = 186 meV/atom
E_form (uncorrected) = 557 meV per atom
DOS at the Fermi energy = 0.351 states/eV per atom

=====

[5]
Cu5Se12I3 after structural relaxation, computed with PBE-GGA.

The structure in POSCAR format:
```
Cu5Se12I3
1.0
-8.023 8.023 8.023
8.023 -8.023 8.023
8.023 8.023 -8.023
Cu Se I
20 48 12
Direct
0.000 0.000 0.000
0.000 0.000 0.500
0.000 0.500 0.000
0.000 0.500 0.500
0.125 0.750 0.875
0.125 0.875 0.250
0.250 0.125 0.875
0.250 0.625 0.375
0.375 0.250 0.625
0.375 0.625 0.750
0.500 0.000 0.000
0.500 0.000 0.500
0.500 0.500 0.000
0.500 0.500 0.500
0.625 0.375 0.250
0.625 0.750 0.375
0.750 0.375 0.625
0.750 0.875 0.125
0.875 0.125 0.750
0.875 0.250 0.125
0.010 0.184 0.131
0.010 0.327 0.880
0.053 0.684 0.673
0.053 0.869 0.380
0.120 0.631 0.447
0.120 0.990 0.673
0.131 0.010 0.184
0.131 0.620 0.947
0.173 0.184 0.553
0.173 0.490 0.620
0.184 0.131 0.010
0.184 0.553 0.173
0.316 0.327 0.947
0.316 0.490 0.369
0.327 0.880 0.010
0.327 0.947 0.316
0.369 0.316 0.490
0.369 0.553 0.880
0.380 0.053 0.869
0.380 0.827 0.510
0.447 0.120 0.631
0.447 0.827 0.816
0.490 0.369 0.316
0.490 0.620 0.173
0.510 0.380 0.827
0.510 0.631 0.684
0.553 0.173 0.184
0.553 0.880 0.369
0.620 0.173 0.490
0.620 0.947 0.131
0.631 0.447 0.120
0.631 0.684 0.510
0.673 0.053 0.684
0.673 0.120 0.990
0.684 0.510 0.631
0.684 0.673 0.053
0.816 0.447 0.827
0.816 0.869 0.990
0.827 0.510 0.380
0.827 0.816 0.447
0.869 0.380 0.053
0.869 0.990 0.816
0.880 0.010 0.327
0.880 0.369 0.553
0.947 0.131 0.620
0.947 0.316 0.327
0.990 0.673 0.120
0.990 0.816 0.869
0.125 0.250 0.375
0.125 0.375 0.750
0.250 0.375 0.125
0.250 0.875 0.625
0.375 0.125 0.250
0.375 0.750 0.125
0.625 0.250 0.875
0.625 0.875 0.750
0.750 0.125 0.375
0.750 0.625 0.875
0.875 0.625 0.250
0.875 0.750 0.625
```

Properties
size of the total moment = 0.0 μB/f.u.
E_form (uncorrected) = 309 meV per atom
DOS at the Fermi energy = 0.907 states/eV per atom

=====

[6]
Na5Nd3F12 after structural relaxation, computed with PBE-GGA.

The structure in POSCAR format:
```
Na5Nd3F12
1.0
-6.832 6.832 6.832
6.832 -6.832 6.832
6.832 6.832 -6.832
Na Nd F
20 12 48
Direct
0.000 0.000 0.000
0.000 0.000 0.500
0.000 0.500 0.000
0.000 0.500 0.500
0.125 0.750 0.875
0.125 0.875 0.250
0.250 0.125 0.875
0.250 0.625 0.375
0.375 0.250 0.625
0.375 0.625 0.750
0.500 0.000 0.000
0.500 0.000 0.500
0.500 0.500 0.000
0.500 0.500 0.500
0.625 0.375 0.250
0.625 0.750 0.375
0.750 0.375 0.625
0.750 0.875 0.125
0.875 0.125 0.750
0.875 0.250 0.125
0.125 0.250 0.375
0.125 0.375 0.750
0.250 0.375 0.125
0.250 0.875 0.625
0.375 0.125 0.250
0.375 0.750 0.125
0.625 0.250 0.875
0.625 0.875 0.750
0.750 0.125 0.375
0.750 0.625 0.875
0.875 0.625 0.250
0.875 0.750 0.625
0.056 0.225 0.142
0.056 0.331 0.914
0.083 0.725 0.669
0.083 0.858 0.414
0.086 0.642 0.417
0.086 0.944 0.669
0.142 0.056 0.225
0.142 0.586 0.917
0.169 0.225 0.583
0.169 0.444 0.586
0.225 0.142 0.056
0.225 0.583 0.169
0.275 0.331 0.917
0.275 0.444 0.358
0.331 0.914 0.056
0.331 0.917 0.275
0.358 0.275 0.444
0.358 0.583 0.914
0.414 0.083 0.858
0.414 0.831 0.556
0.417 0.086 0.642
0.417 0.831 0.775
0.444 0.358 0.275
0.444 0.586 0.169
0.556 0.414 0.831
0.556 0.642 0.725
0.583 0.169 0.225
0.583 0.914 0.358
0.586 0.169 0.444
0.586 0.917 0.142
0.642 0.417 0.086
0.642 0.725 0.556
0.669 0.083 0.725
0.669 0.086 0.944
0.725 0.556 0.642
0.725 0.669 0.083
0.775 0.417 0.831
0.775 0.858 0.944
0.831 0.556 0.414
0.831 0.775 0.417
0.858 0.414 0.083
0.858 0.944 0.775
0.914 0.056 0.331
0.914 0.358 0.583
0.917 0.142 0.586
0.917 0.275 0.331
0.944 0.669 0.086
0.944 0.775 0.858
```

Properties
size of the total moment = 0.8 μB/f.u.
E_form (uncorrected) = -3119 meV per atom
DOS at the Fermi energy = 0.346 states/eV per atom

=====

[7]
YMn2Pb after structural relaxation, computed with PBE-GGA.

The structure in POSCAR format:
```
YMn2Pb
1.0
4.498 0.000 0.000
0.000 4.498 0.000
0.000 0.000 4.190
Y Mn Pb
1 2 1
Direct
0.000 0.000 0.000
0.000 0.500 0.500
0.500 0.000 0.500
0.500 0.500 0.000
```

Properties
size of the total moment = 7.1 μB/f.u.
calculated formation energy = 211 meV per atom
DOS at the Fermi energy = 1.100 states/eV per atom

=====

[8]
LiCeAgGe2 after structural relaxation, computed with PBE-GGA.

The structure in POSCAR format:
```
LiCeAgGe2
1.0
4.201 0.000 0.000
0.000 4.201 0.000
0.000 0.000 11.222
Li Ce Ag Ge
2 2 2 4
Direct
0.000 0.000 0.000
0.500 0.500 0.500
0.000 0.500 0.750
0.500 0.000 0.250
0.000 0.000 0.500
0.500 0.500 0.000
0.000 0.500 0.141
0.000 0.500 0.359
0.500 0.000 0.641
0.500 0.000 0.859
```

Properties
size of the total moment = 0.7 μB/f.u.
calculated formation energy = -506 meV per atom
DOS at the Fermi energy = 1.143 states/eV per atom

=====

What did the fifth record say?
Cu5Se12I3 after structural relaxation, computed with PBE-GGA.

The structure in POSCAR format:
```
Cu5Se12I3
1.0
-8.023 8.023 8.023
8.023 -8.023 8.023
8.023 8.023 -8.023
Cu Se I
20 48 12
Direct
0.000 0.000 0.000
0.000 0.000 0.500
0.000 0.500 0.000
0.000 0.500 0.500
0.125 0.750 0.875
0.125 0.875 0.250
0.250 0.125 0.875
0.250 0.625 0.375
0.375 0.250 0.625
0.375 0.625 0.750
0.500 0.000 0.000
0.500 0.000 0.500
0.500 0.500 0.000
0.500 0.500 0.500
0.625 0.375 0.250
0.625 0.750 0.375
0.750 0.375 0.625
0.750 0.875 0.125
0.875 0.125 0.750
0.875 0.250 0.125
0.010 0.184 0.131
0.010 0.327 0.880
0.053 0.684 0.673
0.053 0.869 0.380
0.120 0.631 0.447
0.120 0.990 0.673
0.131 0.010 0.184
0.131 0.620 0.947
0.173 0.184 0.553
0.173 0.490 0.620
0.184 0.131 0.010
0.184 0.553 0.173
0.316 0.327 0.947
0.316 0.490 0.369
0.327 0.880 0.010
0.327 0.947 0.316
0.369 0.316 0.490
0.369 0.553 0.880
0.380 0.053 0.869
0.380 0.827 0.510
0.447 0.120 0.631
0.447 0.827 0.816
0.490 0.369 0.316
0.490 0.620 0.173
0.510 0.380 0.827
0.510 0.631 0.684
0.553 0.173 0.184
0.553 0.880 0.369
0.620 0.173 0.490
0.620 0.947 0.131
0.631 0.447 0.120
0.631 0.684 0.510
0.673 0.053 0.684
0.673 0.120 0.990
0.684 0.510 0.631
0.684 0.673 0.053
0.816 0.447 0.827
0.816 0.869 0.990
0.827 0.510 0.380
0.827 0.816 0.447
0.869 0.380 0.053
0.869 0.990 0.816
0.880 0.010 0.327
0.880 0.369 0.553
0.947 0.131 0.620
0.947 0.316 0.327
0.990 0.673 0.120
0.990 0.816 0.869
0.125 0.250 0.375
0.125 0.375 0.750
0.250 0.375 0.125
0.250 0.875 0.625
0.375 0.125 0.250
0.375 0.750 0.125
0.625 0.250 0.875
0.625 0.875 0.750
0.750 0.125 0.375
0.750 0.625 0.875
0.875 0.625 0.250
0.875 0.750 0.625
```

Properties
size of the total moment = 0.0 μB/f.u.
E_form (uncorrected) = 309 meV per atom
DOS at the Fermi energy = 0.907 states/eV per atom